Below is crystalline NaSrAs2Cl at its relaxed geometry, with properties calculated at the GGA-PBE level.

Cell: 5.072 5.072 5.418 Å, 90.00 90.00 90.00°
Space group P4/mmm (No. 123)
Asymmetric unit:
Na: 0.000 0.000 0.000
Sr: 0.500 0.500 0.500
As: 0.000 0.500 0.000
Cl: 0.000 0.000 0.500

Energy above the most stable polymorph in this dataset = 0 meV/atom
Energy relative to the elements, uncorrected = -0.2727 eV per atom
Density of states at the Fermi level = 0.833 states/eV per atom